Entry 1:
The following is a DFT calculation (PBE) of a relaxed structure of Pm2CdGe. Values from VASP.

The structure in Quantum ESPRESSO input format:
```
&SYSTEM
  ibrav = 0, nat = 8, ntyp = 3
/
ATOMIC_SPECIES
Pm 145.00 Pm.upf
Cd 112.41 Cd.upf
Ge 72.64 Ge.upf
ATOMIC_POSITIONS crystal
Pm 0.198 0.250 0.422
Pm 0.275 0.750 0.063
Pm 0.725 0.250 0.937
Pm 0.802 0.750 0.578
Cd 0.370 0.750 0.712
Cd 0.630 0.250 0.288
Ge 0.119 0.250 0.791
Ge 0.881 0.750 0.209
CELL_PARAMETERS angstrom
6.200 0.000 0.000
0.000 4.330 0.000
-2.867 0.000 8.174
```

Total DFT energy (no corrections)   -4.282 eV/atom
Crystal system   monoclinic
Density of states at the Fermi level   1.396 states/eV/atom

Entry 2:
The following is a DFT calculation (PBE) of a relaxed structure of Mg2Bi. Values from VASP.

The structure in Quantum ESPRESSO input format:
```
&SYSTEM
  ibrav = 0, nat = 12, ntyp = 2
/
ATOMIC_SPECIES
Mg 24.30 Mg.upf
Bi 208.98 Bi.upf
ATOMIC_POSITIONS crystal
Mg 0.000 0.000 0.000
Mg 0.102 0.000 0.646
Mg 0.235 0.500 0.375
Mg 0.370 0.000 0.688
Mg 0.500 0.500 0.000
Mg 0.602 0.500 0.646
Mg 0.735 0.000 0.375
Mg 0.870 0.500 0.688
Bi 0.227 0.500 0.969
Bi 0.469 0.000 0.333
Bi 0.727 0.000 0.969
Bi 0.969 0.500 0.333
CELL_PARAMETERS angstrom
11.937 0.000 0.000
0.000 3.302 0.000
-1.229 0.000 7.958
```

Total DFT energy (no corrections)   -2.415 eV/atom
Crystal system   monoclinic
Density of states at the Fermi level   0.408 states/eV/atom

Entry 3:
The following is a DFT calculation (PBE) of a relaxed structure of Nd6Tl2Ga. Values from VASP.

The structure in Quantum ESPRESSO input format:
```
&SYSTEM
  ibrav = 0, nat = 9, ntyp = 3
/
ATOMIC_SPECIES
Nd 144.24 Nd.upf
Tl 204.38 Tl.upf
Ga 69.72 Ga.upf
ATOMIC_POSITIONS crystal
Nd 0.000 0.402 0.000
Nd 0.000 0.746 0.500
Nd 0.254 0.254 0.500
Nd 0.402 0.000 0.000
Nd 0.598 0.598 0.000
Nd 0.746 0.000 0.500
Tl 0.333 0.667 0.500
Tl 0.667 0.333 0.500
Ga 0.000 0.000 0.000
CELL_PARAMETERS angstrom
8.480 0.000 0.000
-4.240 7.344 0.000
0.000 0.000 4.510
```

Total DFT energy (no corrections)   -4.344 eV/atom
Crystal system   hexagonal
Density of states at the Fermi level   1.237 states/eV/atom

Entry 4:
The following is a DFT calculation (PBE) of a relaxed structure of Y2Ho4TmSc. Values from VASP.

The structure in Quantum ESPRESSO input format:
```
&SYSTEM
  ibrav = 0, nat = 8, ntyp = 4
/
ATOMIC_SPECIES
Y 88.91 Y.upf
Ho 164.93 Ho.upf
Tm 168.93 Tm.upf
Sc 44.96 Sc.upf
ATOMIC_POSITIONS crystal
Y 0.000 0.000 0.000
Y 0.500 0.500 0.500
Ho 0.000 0.500 0.246
Ho 0.000 0.500 0.754
Ho 0.500 0.000 0.246
Ho 0.500 0.000 0.754
Tm 0.000 0.000 0.500
Sc 0.500 0.500 0.000
CELL_PARAMETERS angstrom
4.952 0.000 0.000
0.000 4.952 0.000
0.000 0.000 9.884
```

Total DFT energy (no corrections)   -5.218 eV/atom
Crystal system   tetragonal
Density of states at the Fermi level   1.517 states/eV/atom

Entry 5:
The following is a DFT calculation (PBE) of a relaxed structure of CsNbCS. Values from VASP.

The structure in Quantum ESPRESSO input format:
```
&SYSTEM
  ibrav = 0, nat = 12, ntyp = 4
/
ATOMIC_SPECIES
Cs 132.91 Cs.upf
Nb 92.91 Nb.upf
C 12.01 C.upf
S 32.06 S.upf
ATOMIC_POSITIONS crystal
Cs 0.000 0.000 0.000
Cs 0.333 0.667 0.667
Cs 0.667 0.333 0.333
Nb 0.000 0.000 0.812
Nb 0.333 0.667 0.479
Nb 0.667 0.333 0.145
C 0.000 0.000 0.443
C 0.333 0.667 0.109
C 0.667 0.333 0.776
S 0.000 0.000 0.216
S 0.333 0.667 0.883
S 0.667 0.333 0.550
CELL_PARAMETERS angstrom
3.476 0.000 0.000
-1.738 3.010 0.000
0.000 0.000 23.448
```

Formation energy from raw total energies   -212 meV per atom
Crystal system   trigonal

Entry 6:
The following is a DFT calculation (PBE) of a relaxed structure of RbNaThTe3. Values from VASP.

The structure in Quantum ESPRESSO input format:
```
&SYSTEM
  ibrav = 0, nat = 12, ntyp = 4
/
ATOMIC_SPECIES
Rb 85.47 Rb.upf
Na 22.99 Na.upf
Th 232.04 Th.upf
Te 127.60 Te.upf
ATOMIC_POSITIONS crystal
Rb 0.221 0.250 0.258
Rb 0.779 0.750 0.742
Na 0.073 0.250 0.598
Na 0.927 0.750 0.402
Th 0.322 0.750 0.848
Th 0.678 0.250 0.152
Te 0.130 0.250 0.888
Te 0.241 0.750 0.550
Te 0.464 0.750 0.153
Te 0.536 0.250 0.847
Te 0.759 0.250 0.450
Te 0.870 0.750 0.112
CELL_PARAMETERS angstrom
10.122 0.000 0.000
0.000 4.720 0.000
-3.032 0.000 10.356
```

Formation energy from raw total energies   -1124 meV per atom
Crystal system   monoclinic
Density of states at the Fermi level   0.000 states/eV/atom

Entry 7:
The following is a DFT calculation (PBE) of a relaxed structure of SrFePt2. Values from VASP.

The structure in Quantum ESPRESSO input format:
```
&SYSTEM
  ibrav = 0, nat = 16, ntyp = 3
/
ATOMIC_SPECIES
Sr 87.62 Sr.upf
Fe 55.84 Fe.upf
Pt 195.08 Pt.upf
ATOMIC_POSITIONS crystal
Sr 0.000 0.000 0.000
Sr 0.000 0.500 0.250
Sr 0.500 0.000 0.750
Sr 0.500 0.500 0.500
Fe 0.000 0.000 0.500
Fe 0.000 0.500 0.750
Fe 0.500 0.000 0.250
Fe 0.500 0.500 0.000
Pt 0.050 0.250 0.625
Pt 0.250 0.550 0.875
Pt 0.250 0.950 0.375
Pt 0.450 0.250 0.125
Pt 0.550 0.750 0.125
Pt 0.750 0.050 0.375
Pt 0.750 0.450 0.875
Pt 0.950 0.750 0.625
CELL_PARAMETERS angstrom
5.025 0.000 0.000
0.000 5.025 0.000
0.000 0.000 16.521
```

Total DFT energy (no corrections)   -5.666 eV/atom
Crystal system   tetragonal
Density of states at the Fermi level   1.166 states/eV/atom

Entry 8:
The following is a DFT calculation (PBE) of a relaxed structure of Ta3Au. Values from VASP.

The structure in Quantum ESPRESSO input format:
```
&SYSTEM
  ibrav = 0, nat = 16, ntyp = 2
/
ATOMIC_SPECIES
Ta 180.95 Ta.upf
Au 196.97 Au.upf
ATOMIC_POSITIONS crystal
Ta 0.000 0.500 0.000
Ta 0.000 0.500 0.500
Ta 0.169 0.338 0.250
Ta 0.169 0.831 0.250
Ta 0.338 0.169 0.750
Ta 0.500 0.000 0.000
Ta 0.500 0.000 0.500
Ta 0.500 0.500 0.000
Ta 0.500 0.500 0.500
Ta 0.662 0.831 0.250
Ta 0.831 0.169 0.750
Ta 0.831 0.662 0.750
Au 0.000 0.000 0.000
Au 0.000 0.000 0.500
Au 0.333 0.667 0.750
Au 0.667 0.333 0.250
CELL_PARAMETERS angstrom
5.890 0.000 0.000
-2.945 5.101 0.000
0.000 0.000 9.581
```

Total DFT energy (no corrections)   -9.670 eV/atom
Crystal system   hexagonal
Density of states at the Fermi level   0.836 states/eV/atom

Calculated mass density, 7.2, 5.5, 7.9, 7.2, 5.5, 4.9, 8.5, 17.1 g cm⁻³ (same order as the records).